An optimized crystal structure of Na3Dy3ScSe8, computed with PBE.

Results
Formation energy (no corrections) in meV/atom: -1597
Calculated density in g/cm³: 5.03

Lattice parameters (Å, degrees): 8.1412 8.1412 21.2668 90.00 90.00 120.00
Space group R-3m (No. 166, hexagonal axes)
Inequivalent atoms, fractional coordinates:
Na  0.0000  0.5000  0.0000 [9 per cell]
Dy  0.0000  0.5000  0.5000 [9 per cell]
Sc  0.0000  0.0000  0.5000 [3 per cell]
Se  0.0000  0.0000  0.2439 [6 per cell]
Se  0.0117  0.5058  0.2403 [18 per cell]